(1)
VASP calculation (PBE) on a geometry-optimized LiAuNO2 structure.

Lattice parameters (Å, degrees): 4.248 4.248 3.765 90.00 90.00 90.00
Fractional positions:
Li 0.500 0.500 0.500
Au 0.000 0.000 0.000
O 0.000 0.500 0.000
O 0.500 0.000 0.000
N 0.000 0.000 0.500

## Properties
DOS(E_F), states/eV/f.u.: 4.78
Energy relative to the elements, uncorrected, eV/atom: 0.68

(2)
VASP calculation (PBE) on a geometry-optimized CoSi2PtN structure.

Lattice parameters (Å, degrees): 4.609 3.304 4.609 90.00 90.00 90.00
Fractional positions:
Si 0.000 0.000 0.500
Si 0.500 0.000 0.000
Co 0.000 0.000 0.000
Pt 0.500 0.500 0.500
N 0.000 0.500 0.000

## Properties
DOS(E_F), states/eV/f.u.: 3.03
Energy relative to the elements, uncorrected, eV/atom: 0.42

(3)
VASP calculation (PBE) on a geometry-optimized PuInHg6 structure.

Lattice parameters (Å, degrees): 5.025 6.612 6.612 111.33 90.00 90.00
Fractional positions:
Pu 0.000 0.124 0.876
In 0.500 0.364 0.636
Hg 0.000 0.082 0.369
Hg 0.000 0.631 0.918
Hg 0.000 0.589 0.411
Hg 0.500 0.423 0.138
Hg 0.500 0.862 0.577
Hg 0.500 0.927 0.073

## Properties
Calculated formation energy, kJ/mol of formula units: -40
DOS(E_F), states/eV/f.u.: 16.90

(4)
VASP calculation (PBE) on a geometry-optimized Na6F5 structure.

Lattice parameters (Å, degrees): 5.857 5.849 5.854 80.33 70.40 59.95
Fractional positions:
Na 0.741 0.000 0.740
Na 0.259 0.000 0.260
Na 0.431 0.654 0.746
Na 0.915 0.654 0.254
Na 0.569 0.346 0.254
Na 0.085 0.346 0.746
F 0.500 0.000 0.500
F 0.333 0.333 0.000
F 0.667 0.667 0.000
F 0.166 0.668 0.500
F 0.834 0.332 0.500

## Properties
DOS(E_F), states/eV/f.u.: 1.75
Energy relative to the elements, uncorrected, eV/atom: -2.40

(5)
VASP calculation (PBE) on a geometry-optimized Cd9Ga2Pb structure.

Lattice parameters (Å, degrees): 7.480 9.454 9.454 81.00 66.70 66.70
Fractional positions:
Cd 0.750 0.500 0.500
Cd 0.000 0.000 0.000
Cd 0.981 0.932 0.689
Cd 0.602 0.068 0.311
Cd 0.663 0.189 0.568
Cd 0.420 0.811 0.432
Cd 0.769 0.811 0.568
Cd 0.148 0.189 0.432
Cd 0.087 0.932 0.311
Cd 0.330 0.068 0.689
Cd 0.769 0.568 0.811
Cd 0.148 0.432 0.189
Cd 0.087 0.311 0.932
Cd 0.330 0.689 0.068
Cd 0.981 0.689 0.932
Cd 0.602 0.311 0.068
Cd 0.663 0.568 0.189
Cd 0.420 0.432 0.811
Ga 0.875 0.250 0.750
Ga 0.875 0.750 0.250
Ga 0.875 0.250 0.250
Ga 0.375 0.750 0.750
Pb 0.500 0.000 0.000
Pb 0.250 0.500 0.500

## Properties
Calculated formation energy, kJ/mol of formula units: 82
DOS(E_F), states/eV/f.u.: 4.82

(6)
VASP calculation (PBE) on a geometry-optimized PmPr2In structure.

Lattice parameters (Å, degrees): 3.746 3.746 11.349 80.50 80.50 60.00
Fractional positions:
Pm 0.500 0.500 0.500
Pr 0.077 0.077 0.769
Pr 0.256 0.256 0.231
In 0.666 0.666 0.001

## Properties
Calculated formation energy, kJ/mol of formula units: -45
DOS(E_F), states/eV/f.u.: 5.79

(7)
VASP calculation (PBE) on a geometry-optimized KB2RuO6 structure.

Lattice parameters (Å, degrees): 4.930 4.930 6.739 68.54 68.54 60.00
Fractional positions:
K 0.000 0.000 0.000
B 0.775 0.775 0.674
B 0.225 0.225 0.326
Ru 0.500 0.500 0.500
O 0.076 0.525 0.687
O 0.712 0.076 0.687
O 0.475 0.288 0.313
O 0.924 0.475 0.313
O 0.288 0.924 0.313
O 0.525 0.712 0.687

## Properties
DOS(E_F), states/eV/f.u.: 0.54
Energy relative to the elements, uncorrected, eV/atom: -1.78

(8)
VASP calculation (PBE) on a geometry-optimized SrAuIO6 structure.

Lattice parameters (Å, degrees): 5.395 5.830 5.297 93.84 92.10 57.35
Fractional positions:
Sr 0.033 0.984 0.000
Au 0.672 0.664 0.500
I 0.354 0.323 0.500
O 0.019 0.365 0.294
O 0.346 0.032 0.671
O 0.606 0.318 0.743
O 0.020 0.616 0.706
O 0.346 0.622 0.329
O 0.604 0.076 0.256

## Properties
Energy relative to the elements, uncorrected, eV/atom: -0.86

(9)
VASP calculation (PBE) on a geometry-optimized KLiAl structure.

Lattice parameters (Å, degrees): 4.507 4.508 11.882 79.24 79.10 60.00
Fractional positions:
K 0.685 0.822 0.233
K 0.905 0.044 0.566
Li 0.164 0.305 0.787
Li 0.088 0.232 0.012
Al 0.793 0.935 0.899
Al 0.460 0.602 0.899

## Properties
Calculated formation energy, kJ/mol of formula units: 1
DOS(E_F), states/eV/f.u.: 1.30

(10)
VASP calculation (PBE) on a geometry-optimized KAlIr2 structure.

Lattice parameters (Å, degrees): 5.841 5.841 6.489 78.30 78.30 27.20
Fractional positions:
K 0.498 0.498 0.535
Ir 0.998 0.998 0.067
Ir 0.680 0.680 0.878
Al 0.324 0.324 0.021

## Properties
Calculated formation energy, kJ/mol of formula units: 53
DOS(E_F), states/eV/f.u.: 1.68

(11)
VASP calculation (PBE) on a geometry-optimized MgBeICl2 structure.

Lattice parameters (Å, degrees): 6.510 4.233 6.510 90.00 90.00 90.00
Fractional positions:
I 0.000 0.000 0.000
Be 0.000 0.500 0.000
Mg 0.500 0.500 0.500
Cl 0.000 0.000 0.500
Cl 0.500 0.000 0.000

## Properties
DOS(E_F), states/eV/f.u.: 2.34
Energy relative to the elements, uncorrected, eV/atom: 0.37

(12)
VASP calculation (PBE) on a geometry-optimized MgAlIn2 structure.

Lattice parameters (Å, degrees): 3.287 4.405 6.308 90.00 90.00 90.00
Fractional positions:
Al 0.500 0.500 0.750
In 0.000 0.000 0.994
In 0.000 0.000 0.506
Mg 0.500 0.500 0.250

## Properties
Calculated formation energy, kJ/mol of formula units: 20
DOS(E_F), states/eV/f.u.: 1.48